# 1
This record from Alexandria describes an optimized crystal structure of Y4In12Pd. The functional is PBE-GGA.

Output
Crystal system: cubic
Size of the total moment in Bohr magnetons per cell: 0.000
Formation enthalpy at 0 K in meV per atom: -425

Unit cell a=9.4069 b=9.4069 c=9.4069 alpha=90.00 beta=90.00 gamma=90.00
Space group Im-3m (No. 229)
Inequivalent atoms, fractional coordinates:
1 Y 0.2500 0.2500 0.2500 x8
2 In 0.0000 0.0000 0.2845 x12
3 In 0.0000 0.2500 0.5000 x12
4 Pd 0.0000 0.0000 0.0000 x2



# 2
This record from Alexandria describes an optimized crystal structure of CoPd2Br6. The functional is PBE-GGA.

Output
Crystal system: monoclinic
Size of the total moment in Bohr magnetons per cell: 3.822
Raw formation energy in eV per atom: -0.234
Offset from the most stable computed form in meV per atom: 0

Unit cell a=13.7584 b=12.8183 c=7.0600 alpha=90.00 beta=104.05 gamma=90.00
Space group C2/c (No. 15)
Inequivalent atoms, fractional coordinates:
1 Co 0.0000 0.1681 0.2500 x4
2 Pd 0.2361 0.0764 0.3579 x8
3 Br 0.1240 0.1602 0.5403 x8
4 Br 0.1260 0.1714 0.0821 x8
5 Br 0.1562 0.4931 0.8479 x8



# 3
This record from Alexandria describes an optimized crystal structure of KLaAgP2. The functional is PBE-GGA.

Output
Crystal system: tetragonal
Size of the total moment in Bohr magnetons per cell: 0.000
Formation enthalpy at 0 K in meV per atom: 722

Unit cell a=5.3125 b=5.3125 c=5.0137 alpha=90.00 beta=90.00 gamma=90.00
Space group P4/mmm (No. 123)
Inequivalent atoms, fractional coordinates:
1 K 0.0000 0.0000 0.0000 x1
2 La 0.5000 0.5000 0.5000 x1
3 Ag 0.0000 0.0000 0.5000 x1
4 P 0.0000 0.5000 0.0000 x2



# 4
This record from Alexandria describes an optimized crystal structure of Li4SmTh3Se8. The functional is PBE-GGA.

Output
Crystal system: trigonal
Size of the total moment in Bohr magnetons per cell: 0.001
Raw formation energy in eV per atom: -1.523

Unit cell a=8.1870 b=8.1870 c=20.0286 alpha=90.00 beta=90.00 gamma=120.00
Space group R-3m (No. 166, hexagonal axes)
Inequivalent atoms, fractional coordinates:
1 Li 0.0000 0.0000 0.0000 x3
2 Li 0.0000 0.5000 0.0000 x9
3 Sm 0.0000 0.0000 0.5000 x3
4 Th 0.0000 0.5000 0.5000 x9
5 Se 0.0000 0.0000 0.2571 x6
6 Se 0.0007 0.5003 0.2554 x18



# 5
This record from Alexandria describes an optimized crystal structure of Tm2Th6Sc. The functional is PBE-GGA.

Output
Crystal system: monoclinic
Size of the total moment in Bohr magnetons per cell: 0.000
Formation enthalpy at 0 K in meV per atom: 123

Unit cell a=12.9630 b=11.6073 c=9.1059 alpha=90.00 beta=125.30 gamma=90.00
Space group C2/c (No. 15)
Inequivalent atoms, fractional coordinates:
1 Tm 0.1648 0.1312 0.4147 x8
2 Th 0.0623 0.1213 0.9769 x8
3 Th 0.1032 0.3783 0.6819 x8
4 Th 0.2274 0.3756 0.1426 x8
5 Sc 0.0000 0.3776 0.2500 x4



# 6
This record from Alexandria describes an optimized crystal structure of BeZnIn2. The functional is PBE-GGA.

Output
Crystal system: monoclinic
Size of the total moment in Bohr magnetons per cell: 0.000
Formation enthalpy at 0 K in meV per atom: 394

Unit cell a=3.0272 b=3.9941 c=6.4240 alpha=90.00 beta=95.58 gamma=90.00
Space group P2/m (No. 10)
Inequivalent atoms, fractional coordinates:
1 Be 0.0000 0.0000 0.0000 x1
2 Zn 0.0000 0.0000 0.5000 x1
3 In 0.4520 0.5000 0.2360 x2



# 7
This record from Alexandria describes an optimized crystal structure of KScCuBr6. The functional is PBE-GGA.

Output
Crystal system: triclinic
Size of the total moment in Bohr magnetons per cell: 1.039
Raw formation energy in eV per atom: -1.225

Unit cell a=6.7630 b=6.7633 c=7.3196 alpha=93.29 beta=93.27 gamma=114.00
Space group P1 (No. 1)
Inequivalent atoms, fractional coordinates:
1 K 0.0000 0.0000 0.0000 x1
2 Sc 0.3428 0.6566 0.4999 x1
3 Cu 0.6884 0.3094 0.5004 x1
4 Br 0.0287 0.3493 0.6737 x1
5 Br 0.0413 0.6184 0.2536 x1
6 Br 0.3816 0.9588 0.7460 x1
7 Br 0.4226 0.3582 0.2848 x1
8 Br 0.6410 0.5769 0.7152 x1
9 Br 0.6506 0.9706 0.3262 x1



# 8
This record from Alexandria describes an optimized crystal structure of FeBW2. The functional is PBE-GGA.

Output
Crystal system: monoclinic
Size of the total moment in Bohr magnetons per cell: 5.805
Formation enthalpy at 0 K in meV per atom: 319

Unit cell a=8.3389 b=4.3708 c=6.2196 alpha=90.00 beta=112.92 gamma=90.00
Space group C2/c (No. 15)
Inequivalent atoms, fractional coordinates:
1 Fe 0.0000 0.1996 0.2500 x4
2 B 0.0000 0.2837 0.7500 x4
3 W 0.1958 0.4798 0.0988 x8



# 9
This record from Alexandria describes an optimized crystal structure of GaSbRhI2. The functional is PBE-GGA.

Output
Crystal system: tetragonal
Size of the total moment in Bohr magnetons per cell: 0.000
Raw formation energy in eV per atom: 0.139
Offset from the most stable computed form in meV per atom: 0

Unit cell a=5.7097 b=5.7097 c=4.9686 alpha=90.00 beta=90.00 gamma=90.00
Space group P4/mmm (No. 123)
Inequivalent atoms, fractional coordinates:
1 Ga 0.0000 0.0000 0.0000 x1
2 Sb 0.5000 0.5000 0.0000 x1
3 Rh 0.5000 0.5000 0.5000 x1
4 I 0.0000 0.5000 0.5000 x2



# 10
This record from Alexandria describes an optimized crystal structure of NpTlTe3Pd. The functional is PBE-GGA.

Output
Crystal system: monoclinic
Size of the total moment in Bohr magnetons per cell: 6.048
Raw formation energy in eV per atom: -0.476

Unit cell a=9.5601 b=4.3371 c=10.0643 alpha=90.00 beta=109.55 gamma=90.00
Space group P2_1/m (No. 11)
Inequivalent atoms, fractional coordinates:
1 Np 0.1848 0.2500 0.1600 x2
2 Tl 0.3027 0.7500 0.7674 x2
3 Te 0.0431 0.2500 0.8353 x2
4 Te 0.2868 0.2500 0.4772 x2
5 Te 0.3936 0.7500 0.1296 x2
6 Pd 0.4119 0.7500 0.4101 x2



# 11
This record from Alexandria describes an optimized crystal structure of Tm2HfB2Ru5. The functional is PBE-GGA.

Output
Crystal system: tetragonal
Size of the total moment in Bohr magnetons per cell: 0.000
Formation enthalpy at 0 K in meV per atom: -569

Unit cell a=9.6817 b=9.6817 c=3.1456 alpha=90.00 beta=90.00 gamma=90.00
Space group P4/mbm (No. 127)
Inequivalent atoms, fractional coordinates:
1 Tm 0.1754 0.3246 0.0000 x4
2 Hf 0.0000 0.0000 0.0000 x2
3 B 0.1213 0.6213 0.0000 x4
4 Ru 0.0000 0.5000 0.5000 x2
5 Ru 0.0714 0.7785 0.5000 x8



# 12
This record from Alexandria describes an optimized crystal structure of As2BrCl. The functional is PBE-GGA.

Output
Crystal system: orthorhombic
Size of the total moment in Bohr magnetons per cell: 0.000
Raw formation energy in eV per atom: 0.265
Offset from the most stable computed form in meV per atom: 585

Unit cell a=3.2273 b=6.0354 c=10.0911 alpha=90.00 beta=90.00 gamma=90.00
Space group Cmm2 (No. 35)
Inequivalent atoms, fractional coordinates:
1 As 0.0000 0.0000 0.0000 x2
2 As 0.0000 0.5000 0.2261 x2
3 Br 0.0000 0.5000 0.7879 x2
4 Cl 0.0000 0.0000 0.4239 x2



- Which value of size of the total moment does entry 9 give?
  0.000 Bohr magnetons per cell



Please write out number 2 again, unchanged.
This record from Alexandria describes an optimized crystal structure of CoPd2Br6. The functional is PBE-GGA.

Output
Crystal system: monoclinic
Size of the total moment in Bohr magnetons per cell: 3.822
Raw formation energy in eV per atom: -0.234
Offset from the most stable computed form in meV per atom: 0

Unit cell a=13.7584 b=12.8183 c=7.0600 alpha=90.00 beta=104.05 gamma=90.00
Space group C2/c (No. 15)
Inequivalent atoms, fractional coordinates:
1 Co 0.0000 0.1681 0.2500 x4
2 Pd 0.2361 0.0764 0.3579 x8
3 Br 0.1240 0.1602 0.5403 x8
4 Br 0.1260 0.1714 0.0821 x8
5 Br 0.1562 0.4931 0.8479 x8



- Which formula does entry 11 have?
  Tm2HfB2Ru5